The following is a DFT calculation (PBEsol) of a relaxed structure of Nb2H2Au.

CIF file:
```
data_Nb2H2Au
_chemical_formula_sum 'Nb2 H2 Au1'
_cell_length_a 5.1634
_cell_length_b 5.1634
_cell_length_c 5.1634
_cell_angle_alpha 139.51
_cell_angle_beta 139.51
_cell_angle_gamma 58.59
_symmetry_space_group_name_H-M 'P 1'
_symmetry_Int_Tables_number 1
loop_
_symmetry_equiv_pos_as_xyz
'x,y,z'
loop_
_atom_site_label
_atom_site_type_symbol
_atom_site_fract_x
_atom_site_fract_y
_atom_site_fract_z
Nb1 Nb 0.1622 0.1622 0.0000
Nb2 Nb 0.8378 0.8378 0.0000
H1 H 0.2500 0.7500 0.5000
H2 H 0.7500 0.2500 0.5000
Au1 Au 0.5000 0.5000 0.0000
```

Computed properties:
magnetization = 0.001 μB per formula unit
electronic total energy = -6.5996 eV per atom